This record from Alexandria via LeMat-Bulk describes a relaxed structure of Sr2AlIn. The functional is PBE.

The structure in POSCAR format:
```
Sr2AlIn
1.0
-0.3390 4.0487 0.4042
-3.1376 0.2022 -4.6568
-4.6377 -0.6972 3.0945
In Sr Al
1 2 1
direct
0.5000 0.5000 0.5000
0.0000 0.0000 0.5000
0.0000 0.5000 0.0000
0.5000 0.0000 0.0000
```

Calculated values
total magnetization = 0.00 μB per formula unit
DFT formation energy = -0.254 eV per atom
polymorph energy (0 for the lowest one) = 0.032 eV/atom
space group = P4/mmm, No. 123

***

This record from Alexandria via LeMat-Bulk describes a relaxed structure of Sm3ErTh2Sb6. The functional is PBE.

The structure in POSCAR format:
```
Sm3ErTh2Sb6
1.0
-1.0378 4.3476 0.1649
-5.0262 -1.4739 7.2249
9.2984 -0.2194 3.6429
Sb Sm Th Er
6 3 2 1
direct
0.6666 0.5844 0.3332
0.3334 0.4156 0.6668
0.0015 0.7562 0.0030
0.3358 0.9205 0.6716
0.6642 0.0795 0.3284
0.9985 0.2438 0.9970
0.5000 0.5000 0.0000
0.1674 0.8340 0.3349
0.8326 0.1660 0.6651
0.1647 0.3304 0.3294
0.8353 0.6696 0.6706
0.5000 0.0000 0.0000
```

Calculated values
energy relative to the elements, uncorrected = -1083 meV/atom
total magnetization = 0.00 μB per formula unit
space group = C2/m, No. 12

***

This record from Alexandria via LeMat-Bulk describes a relaxed structure of LiMn2CdN. The functional is PBE.

The structure in POSCAR format:
```
LiMn2CdN
1.0
3.7909 0.0000 0.0000
0.0000 3.7909 0.0000
0.0000 0.0000 4.2836
Mn N Li Cd
2 1 1 1
direct
0.5000 0.0000 0.0000
0.0000 0.5000 0.0000
0.0000 0.0000 0.0000
0.0000 0.0000 0.5000
0.5000 0.5000 0.5000
```

Calculated values
energy relative to the elements, uncorrected = -210 meV/atom
total magnetization = 3.80 μB per formula unit
space group = P4/mmm, No. 123

***

This record from Alexandria via LeMat-Bulk describes a relaxed structure of Rb2Na2PuS4. The functional is PBE.

The structure in POSCAR format:
```
Rb2Na2PuS4
1.0
-1.8452 -2.0210 3.3231
4.0523 -6.7089 -1.8301
4.8308 5.7741 3.4055
S Rb Na Pu
4 2 2 1
direct
0.1870 0.1728 0.3741
0.5009 0.2192 0.0017
0.4991 0.7808 0.9983
0.8130 0.8272 0.6259
0.1412 0.5462 0.2823
0.8588 0.4538 0.7177
0.3222 0.0287 0.6443
0.6778 0.9713 0.3557
0.0000 0.0000 0.0000
```

Calculated values
energy relative to the elements, uncorrected = -1204 meV/atom
total magnetization = 4.00 μB per formula unit
space group = C2/m, No. 12

***

This record from Alexandria via LeMat-Bulk describes a relaxed structure of YIn2Ag. The functional is PBE.

The structure in POSCAR format:
```
YIn2Ag
1.0
5.5804 -0.0013 0.0000
1.8116 5.2782 0.0000
-3.6960 -2.6385 3.2434
Ag Y In
1 1 2
direct
0.7500 0.2500 0.5000
0.5000 0.5000 0.0000
0.2500 0.7500 0.5000
0.0000 0.0000 0.0000
```

Calculated values
total magnetization = 0.00 μB per formula unit
DFT formation energy = -0.277 eV per atom
space group = I-4m2, No. 119

***

This record from Alexandria via LeMat-Bulk describes a relaxed structure of Pm3Y2Se6. The functional is PBE.

The structure in POSCAR format:
```
Pm3Y2Se6
1.0
-4.0393 0.2383 -1.0129
-2.3566 -3.4417 -0.0003
-6.8820 2.1827 19.3686
Se Pm Y
6 3 2
direct
0.1965 0.1965 0.4106
0.9154 0.9154 0.2538
0.8035 0.8035 0.5894
0.3613 0.3613 0.9162
0.6387 0.6387 0.0838
0.0846 0.0846 0.7462
0.2781 0.2781 0.1656
0.7219 0.7219 0.8344
0.0000 0.0000 0.0000
0.4479 0.4479 0.6562
0.5521 0.5521 0.3438
```

Calculated values
energy relative to the elements, uncorrected = -1823 meV/atom
total magnetization = 0.00 μB per formula unit
space group = R-3m, No. 166

***

This record from Alexandria via LeMat-Bulk describes a relaxed structure of Ce4Br5Cl4. The functional is PBE.

The structure in POSCAR format:
```
Ce4Br5Cl4
1.0
0.2714 -1.5747 3.6152
-6.6099 -7.1537 -0.4591
6.8617 -6.8015 -1.3170
Ce Br Cl
4 5 4
direct
0.2373 0.7342 0.7912
0.0285 0.2088 0.7342
0.9715 0.7912 0.2658
0.7627 0.2658 0.2088
0.6395 0.6773 0.0436
0.3168 0.0436 0.3227
0.6832 0.9564 0.6773
0.3605 0.3227 0.9564
0.0000 0.0000 0.0000
0.5945 0.2842 0.5268
0.1213 0.4732 0.2842
0.8787 0.5268 0.7158
0.4055 0.7158 0.4732
```

Calculated values
energy relative to the elements, uncorrected = -1806 meV/atom
total magnetization = 6.38 μB per formula unit
space group = I4/m, No. 87

***

This record from Alexandria via LeMat-Bulk describes a relaxed structure of ScTiMn2Cl. The functional is PBE.

The structure in POSCAR format:
```
ScTiMn2Cl
1.0
4.9246 0.0000 0.0000
0.0000 4.6636 0.0000
0.0000 0.0000 4.9246
Cl Mn Ti Sc
1 2 1 1
direct
0.0000 0.5000 0.0000
0.0000 0.0000 0.5000
0.5000 0.0000 0.0000
0.5000 0.5000 0.5000
0.0000 0.0000 0.0000
```

Calculated values
energy relative to the elements, uncorrected = 889 meV/atom
total magnetization = 4.44 μB per formula unit
polymorph energy (0 for the lowest one) = 0.515 eV/atom
space group = P4/mmm, No. 123

***

This record from Alexandria via LeMat-Bulk describes a relaxed structure of BeZnTe2. The functional is PBE.

The structure in POSCAR format:
```
BeZnTe2
1.0
6.8829 0.0000 -2.2130
3.1548 5.4677 -4.4606
-3.1548 5.4677 4.4606
Be Te Zn
2 4 2
direct
0.2500 0.7462 0.2462
0.7500 0.2538 0.7538
0.2714 0.6662 0.5697
0.2286 0.0697 0.1662
0.7714 0.9303 0.8338
0.7286 0.3338 0.4303
0.2500 0.0260 0.5260
0.7500 0.9740 0.4740
```

Calculated values
energy relative to the elements, uncorrected = -223 meV/atom
total magnetization = 0.00 μB per formula unit
polymorph energy (0 for the lowest one) = 0.184 eV/atom
space group = C2/c, No. 15

***

This record from Alexandria via LeMat-Bulk describes a relaxed structure of Be2ReN. The functional is PBE.

The structure in POSCAR format:
```
Be2ReN
1.0
4.9550 0.0000 0.0000
0.0000 4.9550 0.0000
2.4775 2.4775 3.3083
N Be Re
2 4 2
direct
0.5000 0.5000 0.0000
0.2500 0.7500 0.5000
0.3750 0.5117 0.7500
0.8750 0.7383 0.7500
0.4883 0.1250 0.2500
0.2617 0.6250 0.2500
0.0000 0.0000 0.0000
0.7500 0.2500 0.5000
```

Calculated values
energy relative to the elements, uncorrected = 258 meV/atom
total magnetization = 0.00 μB per formula unit
space group = I-42d, No. 122

***

This record from Alexandria via LeMat-Bulk describes a relaxed structure of Tl2IrC. The functional is PBE.

The structure in POSCAR format:
```
Tl2IrC
1.0
1.6823 -3.9772 1.8322
-2.2822 -2.1144 3.5109
-2.2278 -4.0580 -0.7581
Ir Tl C
1 2 1
direct
0.5000 0.5000 0.5000
0.7500 0.7500 0.7500
0.2500 0.2500 0.2500
0.0000 0.0000 0.0000
```

Calculated values
total magnetization = 0.00 μB per formula unit
DFT formation energy = 1.700 eV per atom
polymorph energy (0 for the lowest one) = 0.112 eV/atom
space group = Fm-3m, No. 225

***

This record from Alexandria via LeMat-Bulk describes a relaxed structure of Tm4PdPt3. The functional is PBE.

The structure in POSCAR format:
```
Tm4PdPt3
1.0
3.6542 0.0000 0.0000
0.0000 4.4995 0.0000
0.0000 0.0000 10.4236
Tm Pd Pt
4 1 3
direct
0.5000 0.0000 0.6379
0.0000 0.0000 0.1368
0.0000 0.5000 0.8601
0.5000 0.5000 0.3649
0.5000 0.5000 0.0887
0.5000 0.0000 0.9137
0.0000 0.5000 0.5886
0.0000 0.0000 0.4092
```

Calculated values
total magnetization = 0.00 μB per formula unit
DFT formation energy = -1.235 eV per atom
space group = Pmm2, No. 25

***

This record from Alexandria via LeMat-Bulk describes a relaxed structure of LaTbPm2Ho2. The functional is PBE.

The structure in POSCAR format:
```
LaTbPm2Ho2
1.0
3.5408 0.0000 0.0000
0.0000 16.3914 0.0000
0.0000 0.0000 6.9985
La Pm Tb Ho
2 4 2 4
direct
0.0000 0.0000 0.0000
0.5000 0.5000 0.5000
0.0000 0.3397 0.2472
0.0000 0.6603 0.7528
0.5000 0.1603 0.7472
0.5000 0.8397 0.2528
0.5000 0.5000 0.0000
0.0000 0.0000 0.5000
0.0000 0.6547 0.2504
0.0000 0.3453 0.7496
0.5000 0.8453 0.7504
0.5000 0.1547 0.2496
```

Calculated values
total magnetization = 0.00 μB per formula unit
DFT formation energy = 0.153 eV per atom
space group = Pnnm, No. 58